(1)
## LaNbTe3 (GGA-PBE)

Data for crystalline LaNbTe3 at its relaxed geometry.

Cell lengths 4.4826, 8.2231, 8.3744 Å; angles 93.25, 90.00, 105.82 degrees
Atoms (fractional coordinates):
Te1 0.2635 0.5600 0.9921
Te2 0.4096 0.8520 0.6802
Te3 0.7805 0.5940 0.4294
Te4 0.9655 0.9641 0.0313
Te5 0.6344 0.3021 0.7413
Te6 0.0784 0.1899 0.3903
Nb1 0.2292 0.4915 0.6311
Nb2 0.8148 0.6626 0.7904
La1 0.6295 0.2922 0.1188
La2 0.4144 0.8619 0.3028

Space-group type: No. 12
Raw formation energy, eV/atom: -0.955
ΔE to the lowest computed polymorph, kcal/mol of atoms: 0.00

---

(2)
## LaNb2Te (GGA-PBE)

Data for crystalline LaNb2Te at its relaxed geometry.

Cell lengths 8.3555, 8.3555, 6.6278 Å; angles 50.92, 50.92, 90.00 degrees
Atoms (fractional coordinates):
Nb1 0.8750 0.8119 0.7500
Nb2 0.1881 0.6250 0.2500
Nb3 0.5619 0.1250 0.2500
Nb4 0.3750 0.4381 0.7500
Te1 0.5000 0.5000 0.0000
Te2 0.2500 0.7500 0.5000
La1 0.7500 0.2500 0.5000
La2 0.0000 0.0000 0.0000

Space-group type: No. 122
Raw formation energy, eV/atom: 0.454

---

(3)
## LaNbTe3 (GGA-PBE)

Data for crystalline LaNbTe3 at its relaxed geometry.

Cell lengths 6.0537, 6.0537, 6.0537 Å; angles 90.00, 90.00, 90.00 degrees
Last column: magnetic moment on the atom in μB.
Atoms (fractional coordinates):
Te1 0.0000 0.0000 0.5000  0.25
Te2 0.5000 0.0000 0.0000  0.20
Te3 0.0000 0.5000 0.0000  0.29
La1 0.0000 0.0000 0.0000  0.01
Nb1 0.5000 0.5000 0.5000  -2.88

Space-group type: No. 221
Raw formation energy, eV/atom: 0.575
ΔE to the lowest computed polymorph, kcal/mol of atoms: 35.27

---

(4)
## LaNbTe3 (GGA-PBE)

Data for crystalline LaNbTe3 at its relaxed geometry.

Cell lengths 5.4287, 5.4287, 5.4287 Å; angles 90.00, 90.00, 90.00 degrees
Atoms (fractional coordinates):
Te1 0.5000 0.0000 0.0000
Te2 0.0000 0.0000 0.5000
Te3 0.0000 0.5000 0.0000
La1 0.5000 0.5000 0.5000
Nb1 0.0000 0.0000 0.0000

Space-group type: No. 221
Raw formation energy, eV/atom: -0.444
ΔE to the lowest computed polymorph, kcal/mol of atoms: 11.78

---

(5)
## LaNbZnTe2 (GGA-PBE)

Data for crystalline LaNbZnTe2 at its relaxed geometry.

Cell lengths 5.3982, 4.9747, 5.3982 Å; angles 90.00, 90.00, 90.00 degrees
Atoms (fractional coordinates):
Te1 0.5000 0.0000 0.0000
Te2 0.0000 0.0000 0.5000
Zn1 0.0000 0.5000 0.0000
Nb1 0.0000 0.0000 0.0000
La1 0.5000 0.5000 0.5000

Space-group type: No. 123
Raw formation energy, eV/atom: -0.259

---

(6)
## La2TiNb (GGA-PBE)

Data for crystalline La2TiNb at its relaxed geometry.

Cell lengths 5.3051, 5.3051, 5.3051 Å; angles 60.00, 60.00, 60.00 degrees
Last column: magnetic moment on the atom in μB.
Atoms (fractional coordinates):
La1 0.7500 0.7500 0.7500  0.03
La2 0.2500 0.2500 0.2500  0.03
Ti1 0.0000 0.0000 0.0000  1.37
Nb1 0.5000 0.5000 0.5000  -1.44

Space-group type: No. 225
DFT formation energy, eV per atom: 0.466
ΔE to the lowest computed polymorph, kcal/mol of atoms: 0.00

---

(7)
## LaTi2Nb (GGA-PBE)

Data for crystalline LaTi2Nb at its relaxed geometry.

Cell lengths 4.8709, 4.8709, 4.8709 Å; angles 60.00, 60.00, 60.00 degrees
Atoms (fractional coordinates):
Nb1 0.0000 0.0000 0.0000
Ti1 0.7500 0.7500 0.7500
Ti2 0.2500 0.2500 0.2500
La1 0.5000 0.5000 0.5000

Space-group type: No. 225
DFT formation energy, eV per atom: 0.331
ΔE to the lowest computed polymorph, kcal/mol of atoms: 4.24

---

(8)
## LaTi2Nb (GGA-PBE)

Data for crystalline LaTi2Nb at its relaxed geometry.

Cell lengths 4.2039, 4.2039, 10.4488 Å; angles 78.39, 78.39, 90.00 degrees
Atoms (fractional coordinates):
Nb1 0.2500 0.7500 0.5000
Nb2 0.5000 0.5000 0.0000
Ti1 0.6050 0.1250 0.2500
Ti2 0.3750 0.3950 0.7500
Ti3 0.8750 0.8550 0.7500
Ti4 0.1450 0.6250 0.2500
La1 0.7500 0.2500 0.5000
La2 0.0000 0.0000 0.0000

Space-group type: No. 122
DFT formation energy, eV per atom: 0.755
ΔE to the lowest computed polymorph, kcal/mol of atoms: 14.01

---

(9)
## LaTi2Nb (GGA-PBE)

Data for crystalline LaTi2Nb at its relaxed geometry.

Cell lengths 3.4787, 3.4787, 7.1211 Å; angles 90.00, 90.00, 90.00 degrees
Atoms (fractional coordinates):
Ti1 0.0000 0.0000 0.8064
Ti2 0.0000 0.0000 0.1936
Nb1 0.5000 0.5000 0.0000
La1 0.5000 0.5000 0.5000

Space-group type: No. 123
DFT formation energy, eV per atom: 0.147
ΔE to the lowest computed polymorph, kcal/mol of atoms: 0.00

---

(10)
## La2TiNb (GGA-PBE)

Data for crystalline La2TiNb at its relaxed geometry.

Cell lengths 8.2848, 8.2848, 6.6182 Å; angles 51.25, 51.25, 90.00 degrees
Last column: magnetic moment on the atom in μB.
Atoms (fractional coordinates):
La1 0.3750 0.3706 0.7500  0.11
La2 0.6294 0.1250 0.2500  0.10
La3 0.8750 0.8794 0.7500  0.11
La4 0.1206 0.6250 0.2500  0.11
Nb1 0.0000 0.0000 0.0000  -0.75
Nb2 0.7500 0.2500 0.5000  -0.75
Ti1 0.5000 0.5000 0.0000  1.18
Ti2 0.2500 0.7500 0.5000  1.18

Space-group type: No. 122
DFT formation energy, eV per atom: 0.808
ΔE to the lowest computed polymorph, kcal/mol of atoms: 7.89

---

(11)
## LaTi2NbW (GGA-PBE)

Data for crystalline LaTi2NbW at its relaxed geometry.

Cell lengths 4.6447, 4.9007, 4.6447 Å; angles 90.00, 90.00, 90.00 degrees
Atoms (fractional coordinates):
Ti1 0.0000 0.0000 0.5000
Ti2 0.5000 0.0000 0.0000
W1 0.5000 0.5000 0.5000
La1 0.0000 0.0000 0.0000
Nb1 0.0000 0.5000 0.0000

Space-group type: No. 123
DFT formation energy, eV per atom: 1.892

---

(12)
## LaNbTl2 (GGA-PBE)

Data for crystalline LaNbTl2 at its relaxed geometry.

Cell lengths 4.5368, 4.5368, 11.4457 Å; angles 78.57, 78.57, 90.00 degrees
Atoms (fractional coordinates):
Tl1 0.1644 0.6250 0.2500
Tl2 0.5856 0.1250 0.2500
Tl3 0.8750 0.8356 0.7500
Tl4 0.3750 0.4144 0.7500
La1 0.7500 0.2500 0.5000
La2 0.0000 0.0000 0.0000
Nb1 0.2500 0.7500 0.5000
Nb2 0.5000 0.5000 0.0000

Space-group type: No. 122
DFT formation energy, eV per atom: 0.513

---

(13)
## La2NbTl2 (GGA-PBE)

Data for crystalline La2NbTl2 at its relaxed geometry.

Cell lengths 7.9177, 7.9177, 4.7331 Å; angles 90.00, 90.00, 90.00 degrees
Last column: magnetic moment on the atom in μB.
Atoms (fractional coordinates):
La1 0.8309 0.3309 0.5000  0.01
La2 0.6691 0.8309 0.5000  0.02
La3 0.3309 0.1691 0.5000  0.02
La4 0.1691 0.6691 0.5000  0.01
Tl1 0.3610 0.8610 0.0000  -0.03
Tl2 0.1390 0.3610 0.0000  -0.03
Tl3 0.6390 0.1390 0.0000  -0.03
Tl4 0.8610 0.6390 0.0000  -0.03
Nb1 0.0000 0.0000 0.0000  1.49
Nb2 0.5000 0.5000 0.0000  1.49

Space-group type: No. 127
DFT formation energy, eV per atom: 0.076

---

(14)
## LaYNb2Tl (GGA-PBE)

Data for crystalline LaYNb2Tl at its relaxed geometry.

Cell lengths 5.3496, 5.5294, 5.3496 Å; angles 90.00, 90.00, 90.00 degrees
Last column: magnetic moment on the atom in μB.
Atoms (fractional coordinates):
Nb1 0.5000 0.0000 0.0000  1.13
Nb2 0.0000 0.0000 0.5000  1.45
La1 0.5000 0.5000 0.5000  0.13
Y1 0.0000 0.5000 0.0000  0.03
Tl1 0.0000 0.0000 0.0000  0.03

Space-group type: No. 123
DFT formation energy, eV per atom: 1.185

---

(15)
## LaNbTl2Zn (GGA-PBE)

Data for crystalline LaNbTl2Zn at its relaxed geometry.

Cell lengths 5.9932, 5.4894, 5.9932 Å; angles 90.00, 90.00, 90.00 degrees
Last column: magnetic moment on the atom in μB.
Atoms (fractional coordinates):
Tl1 0.0000 0.0000 0.5000  -0.01
Tl2 0.5000 0.0000 0.0000  -0.08
Zn1 0.0000 0.5000 0.0000  -0.03
Nb1 0.5000 0.5000 0.5000  2.89
La1 0.0000 0.0000 0.0000  -0.25

Space-group type: No. 123
DFT formation energy, eV per atom: 1.475

---

(16)
## LaTm2Nb (GGA-PBE)

Data for crystalline LaTm2Nb at its relaxed geometry.

Cell lengths 3.2987, 3.2987, 11.9132 Å; angles 82.04, 82.04, 60.00 degrees
Last column: magnetic moment on the atom in μB.
Atoms (fractional coordinates):
Tm1 0.0816 0.0816 0.7553  0.08
Tm2 0.9184 0.9184 0.2447  0.08
La1 0.5000 0.5000 0.5000  0.01
Nb1 0.0000 0.0000 0.0000  0.41

Space-group type: No. 166
DFT formation energy, eV per atom: 0.554

---

(17)
## LaNb3V (GGA-PBE)

Data for crystalline LaNb3V at its relaxed geometry.

Cell lengths 4.8400, 4.8400, 4.8400 Å; angles 90.00, 90.00, 90.00 degrees
Atoms (fractional coordinates):
Nb1 0.5000 0.0000 0.0000
Nb2 0.0000 0.0000 0.5000
Nb3 0.0000 0.5000 0.0000
La1 0.5000 0.5000 0.5000
V1 0.0000 0.0000 0.0000

Space-group type: No. 221
DFT formation energy, eV per atom: 0.706
ΔE to the lowest computed polymorph, kcal/mol of atoms: 0.00

---

(18)
## LaNb3V (GGA-PBE)

Data for crystalline LaNb3V at its relaxed geometry.

Cell lengths 4.8872, 4.8872, 4.8872 Å; angles 90.00, 90.00, 90.00 degrees
Last column: magnetic moment on the atom in μB.
Atoms (fractional coordinates):
Nb1 0.0000 0.0000 0.5000  0.06
Nb2 0.5000 0.0000 0.0000  0.06
Nb3 0.0000 0.5000 0.0000  0.06
V1 0.5000 0.5000 0.5000  2.62
La1 0.0000 0.0000 0.0000  0.03

Space-group type: No. 221
DFT formation energy, eV per atom: 1.948
ΔE to the lowest computed polymorph, kcal/mol of atoms: 28.64

---

(19)
## LaNbV3 (GGA-PBE)

Data for crystalline LaNbV3 at its relaxed geometry.

Cell lengths 4.8193, 4.8193, 4.8193 Å; angles 90.00, 90.00, 90.00 degrees
Last column: magnetic moment on the atom in μB.
Atoms (fractional coordinates):
V1 0.0000 0.0000 0.5000  1.33
V2 0.5000 0.0000 0.0000  1.33
V3 0.0000 0.5000 0.0000  1.33
La1 0.5000 0.5000 0.5000  0.15
Nb1 0.0000 0.0000 0.0000  -0.32

Space-group type: No. 221
DFT formation energy, eV per atom: 0.932
ΔE to the lowest computed polymorph, kcal/mol of atoms: 0.00

---

(20)
## La2Nb2V (GGA-PBE)

Data for crystalline La2Nb2V at its relaxed geometry.

Cell lengths 6.6652, 6.6652, 5.4371 Å; angles 90.00, 90.00, 90.00 degrees
Atoms (fractional coordinates):
Nb1 0.8485 0.6515 0.0000
Nb2 0.3485 0.8485 0.0000
Nb3 0.1515 0.3485 0.0000
Nb4 0.6515 0.1515 0.0000
La1 0.3293 0.1707 0.5000
La2 0.8293 0.3293 0.5000
La3 0.1707 0.6707 0.5000
La4 0.6707 0.8293 0.5000
V1 0.5000 0.5000 0.0000
V2 0.0000 0.0000 0.0000

Space-group type: No. 127
DFT formation energy, eV per atom: 0.472